1.
Re2OsPb: optimized geometry, PBE.

Output
* energy of formation: 3.9 eV/f.u.
* SG: I-4m2

POSCAR file:
```
Re2OsPb
1.0
4.055 0.000 0.000
0.000 4.055 0.000
0.000 0.000 8.063
Re Os Pb
4 2 2
Cartesian
0.000 0.000 0.000 Re
0.000 2.028 2.016 Re
2.028 0.000 6.047 Re
2.028 2.028 4.032 Re
0.000 2.028 6.047 Os
2.028 0.000 2.016 Os
0.000 0.000 4.032 Pb
2.028 2.028 0.000 Pb
```

2.
ReOsPb2: optimized geometry, PBE.

Output
* energy of formation: 3.9 eV/f.u.
* SG: Imm2

POSCAR file:
```
ReOsPb2
1.0
3.040 0.000 0.000
0.000 4.960 0.000
0.000 0.000 11.499
Re Os Pb
2 2 4
Cartesian
0.000 0.000 0.000 Re
1.520 2.480 5.750 Re
0.000 2.480 7.704 Os
1.520 0.000 1.954 Os
0.000 0.000 4.870 Pb
0.000 2.480 2.697 Pb
1.520 0.000 8.447 Pb
1.520 2.480 10.620 Pb
```

3.
ReSiOs2Pb: optimized geometry, PBE.

Output
* E_tot: -36.8 eV for the cell shown
* SG: P4/mmm

POSCAR file:
```
ReSiOs2Pb
1.0
4.830 0.000 0.000
0.000 4.830 0.000
0.000 0.000 4.637
Re Si Os Pb
1 1 2 1
Cartesian
0.000 0.000 0.000 Re
0.000 0.000 2.318 Si
0.000 2.415 0.000 Os
2.415 0.000 0.000 Os
2.415 2.415 2.318 Pb
```

4.
Re2OsPbW: optimized geometry, PBE.

Output
* energy of formation: 12.5 eV/f.u.
* SG: P4/mmm

POSCAR file:
```
Re2OsPbW
1.0
4.708 0.000 0.000
0.000 4.708 0.000
0.000 0.000 4.968
Re Os Pb W
2 1 1 1
Cartesian
0.000 2.354 0.000 Re
2.354 0.000 0.000 Re
0.000 0.000 0.000 Os
0.000 0.000 2.484 Pb
2.354 2.354 2.484 W
```

5.
Y2ReOsPb: optimized geometry, PBE.

Output
* energy of formation: 5.9 eV/f.u.
* SG: P4/mmm

POSCAR file:
```
Y2ReOsPb
1.0
5.254 0.000 0.000
0.000 5.254 0.000
0.000 0.000 5.148
Y Re Os Pb
2 1 1 1
Cartesian
0.000 2.627 0.000 Y
2.627 0.000 0.000 Y
0.000 0.000 0.000 Re
2.627 2.627 2.574 Os
0.000 0.000 2.574 Pb
```

6.
OsRh2Pb: optimized geometry, PBE.

Output
* energy of formation: 1.9 eV/f.u.
* SG: P4mm

POSCAR file:
```
OsRh2Pb
1.0
2.968 0.000 0.000
0.000 2.968 0.000
0.000 0.000 7.614
Os Rh Pb
1 2 1
Cartesian
0.000 0.000 0.000 Os
0.000 0.000 4.205 Rh
1.484 1.484 6.051 Rh
1.484 1.484 2.205 Pb
```

7.
OsRhPb3: optimized geometry, PBE.

Output
* energy of formation: 4.8 eV/f.u.
* SG: Pm-3m

POSCAR file:
```
OsRhPb3
1.0
5.227 0.000 0.000
0.000 5.227 0.000
0.000 0.000 5.227
Os Rh Pb
1 1 3
Cartesian
0.000 0.000 0.000 Os
2.613 2.613 2.613 Rh
0.000 0.000 2.613 Pb
0.000 2.613 0.000 Pb
2.613 0.000 0.000 Pb
```

8.
OsRh2Pb: optimized geometry, PBE.

Output
* energy of formation: 3.7 eV/f.u.
* SG: I-42d

POSCAR file:
```
OsRh2Pb
1.0
5.789 0.000 0.000
0.000 5.789 0.000
0.000 0.000 11.792
Os Rh Pb
4 8 4
Cartesian
0.000 0.000 0.000 Os
0.000 2.894 2.948 Os
2.894 0.000 8.844 Os
2.894 2.894 5.896 Os
1.168 1.447 1.474 Rh
1.447 4.063 4.422 Rh
1.447 4.621 10.318 Rh
1.726 1.447 7.370 Rh
4.063 4.342 7.370 Rh
4.342 1.168 10.318 Rh
4.342 1.726 4.422 Rh
4.621 4.342 1.474 Rh
0.000 0.000 5.896 Pb
0.000 2.894 8.844 Pb
2.894 0.000 2.948 Pb
2.894 2.894 0.000 Pb
```

9.
OsRh2Pb: optimized geometry, PBE.

Output
* energy of formation: 1.7 eV/f.u.
* SG: C2/m

POSCAR file:
```
OsRh2Pb
1.0
9.086 0.000 0.000
0.000 2.996 0.000
-0.871 0.000 4.864
Os Rh Pb
2 4 2
Cartesian
0.000 0.000 0.000 Os
4.543 1.498 0.000 Os
2.017 1.498 1.085 Rh
1.655 0.000 3.778 Rh
6.560 0.000 1.085 Rh
6.198 1.498 3.778 Rh
-0.435 1.498 2.432 Pb
4.107 0.000 2.432 Pb
```

10.
OsRh2Pb: optimized geometry, PBE.

Output
* energy of formation: 1.4 eV/f.u.
* SG: Pmmm

POSCAR file:
```
OsRh2Pb
1.0
2.906 0.000 0.000
0.000 3.862 0.000
0.000 0.000 5.913
Os Rh Pb
1 2 1
Cartesian
0.000 0.000 0.000 Os
1.453 1.931 1.302 Rh
1.453 1.931 4.612 Rh
0.000 0.000 2.957 Pb
```

11.
OsRh2Pb: optimized geometry, PBE.

Output
* energy of formation: 1.3 eV/f.u.
* SG: P4/mmm

POSCAR file:
```
OsRh2Pb
1.0
2.917 0.000 0.000
0.000 2.917 0.000
0.000 0.000 7.940
Os Rh Pb
1 2 1
Cartesian
0.000 0.000 0.000 Os
1.459 1.459 1.722 Rh
1.459 1.459 6.218 Rh
0.000 0.000 3.970 Pb
```

12.
Os3RhPb: optimized geometry, PBE.

Output
* energy of formation: 10.9 eV/f.u.
* SG: Pm-3m

POSCAR file:
```
Os3RhPb
1.0
4.737 0.000 0.000
0.000 4.737 0.000
0.000 0.000 4.737
Os Rh Pb
3 1 1
Cartesian
0.000 0.000 2.369 Os
0.000 2.369 0.000 Os
2.369 0.000 0.000 Os
0.000 0.000 0.000 Rh
2.369 2.369 2.369 Pb
```